No. 1
13
Lattice="4.2950 0.0000 1.7264 2.1475 5.7880 0.8632 -0.0112 0.0000 6.2336" Properties=species:S:1:pos:R:3 comment="CaBe4Cu8, relaxed, DFT GGA-PBE" rho_g_cm3=6.3 e_form_ev_per_atom=-0.080 pbc="T T T"
Cu 2.6234 1.3059 5.8851
Cu 3.8080 4.4821 2.9381
Cu 0.7430 2.0221 4.3574
Cu 3.5409 2.0221 3.6026
Cu 1.3934 3.7660 2.7394
Cu 2.8905 3.7660 5.2206
Be -0.0056 0.0000 3.1168
Be 2.1419 0.0000 3.9800
Be 1.0738 2.8940 0.4316
Ca 0.0000 0.0000 0.0000
Be 3.2213 2.8940 1.2948
Cu 1.6605 1.3059 2.0749
Cu 4.7709 4.4821 6.7483

=====

No. 2
5
Lattice="-1.3793 -0.9063 3.6867 3.6845 -1.2650 1.0675 2.1866 3.1259 3.7992" Properties=species:S:1:pos:R:3 comment="CaBe2Cu2, relaxed, DFT GGA-PBE" rho_g_cm3=4.1 e_form_ev_per_atom=0.063 pbc="T T T"
Be 3.5119 0.3876 3.6219
Cu 1.4386 0.0790 2.7703
Ca 0.0000 0.0000 0.0000
Cu 3.0533 0.8756 5.7830
Be 0.9800 0.5670 4.9315